Record 1
TbPr2Dy6Ho | PBE | relaxed

Cell: 8.7845 8.7845 9.7447 Å, 94.71 94.71 118.11°
Sites, in units of the cell vectors:
Tb  0.0170  0.9830  0.7500
Tb  0.9830  0.0170  0.2500
Pr  0.1928  0.2958  0.5419
Pr  0.2958  0.1928  0.0419
Pr  0.7042  0.8072  0.9581
Pr  0.8072  0.7042  0.4581
Dy  0.0215  0.5761  0.6879
Dy  0.1243  0.7428  0.0572
Dy  0.2572  0.8757  0.4428
Dy  0.2934  0.5039  0.8806
Dy  0.4239  0.9785  0.8121
Dy  0.4961  0.7066  0.6194
Dy  0.5039  0.2934  0.3806
Dy  0.5761  0.0215  0.1879
Dy  0.7066  0.4961  0.1194
Dy  0.7428  0.1243  0.5572
Dy  0.8757  0.2572  0.9428
Dy  0.9785  0.4239  0.3121
Ho  0.4065  0.5935  0.2500
Ho  0.5935  0.4065  0.7500

Space-group type: No. 15
N(E_F) (states/eV/atom): 1.388
DFT formation energy (meV/atom): 117
Crystal system: monoclinic



Record 2
Pu2Pa2Ge4Ir | PBE | relaxed

Cell: 6.4295 6.4295 6.4295 Å, 113.40 113.40 101.87°
Sites, in units of the cell vectors:
Pu  0.1744  0.1744  0.0000
Pu  0.8256  0.8256  0.0000
Pa  0.2500  0.7500  0.5000
Pa  0.7500  0.2500  0.5000
Ge  0.2538  0.2538  0.5077
Ge  0.2538  0.7462  0.0000
Ge  0.7462  0.2538  0.0000
Ge  0.7462  0.7462  0.4923
Ir  0.5000  0.5000  0.0000

Space-group type: No. 139
N(E_F) (states/eV/atom): 2.167
DFT formation energy (meV/atom): -215
Crystal system: tetragonal



Total moment (computed, μB per formula unit): 0.000, 12.968
E (computed, eV/atom): -4.5207, -8.5472